Record 1
# TcMo2Se, relaxed, DFT PBE
# V   15.64 Å³ per atom
# Formation energy (no corrections)   109 meV/atom
# DOS at the Fermi energy   4.36 states/eV/cell
data_TcMo2Se
_cell_length_a 3.0962
_cell_length_b 3.0962
_cell_length_c 6.5241
_cell_angle_alpha 90.00
_cell_angle_beta 90.00
_cell_angle_gamma 90.00
_space_group_name_H-M_alt 'P 1'
_space_group_IT_number 1
loop_
_space_group_symop_operation_xyz
'x,y,z'
loop_
_atom_site_label
_atom_site_fract_x
_atom_site_fract_y
_atom_site_fract_z
_atom_site_occupancy
Tc1 0.0000 0.0000 0.0000 1
Mo1 0.0000 0.0000 0.4989 1
Mo2 0.5000 0.5000 0.2277 1
Se1 0.5000 0.5000 0.7236 1

***

Record 2
# TcMo2Se, relaxed, DFT PBE
# V   15.71 Å³ per atom
# Formation energy (no corrections)   217 meV/atom
# DOS at the Fermi energy   4.08 states/eV/cell
data_TcMo2Se
_cell_length_a 2.9486
_cell_length_b 4.2343
_cell_length_c 5.1491
_cell_angle_alpha 90.00
_cell_angle_beta 102.26
_cell_angle_gamma 90.00
_space_group_name_H-M_alt 'P 1'
_space_group_IT_number 1
loop_
_space_group_symop_operation_xyz
'x,y,z'
loop_
_atom_site_label
_atom_site_fract_x
_atom_site_fract_y
_atom_site_fract_z
_atom_site_occupancy
Tc1 0.0000 0.0000 0.0000 1
Mo1 0.3858 0.0000 0.4973 1
Mo2 0.6621 0.5000 0.2348 1
Se1 0.9544 0.5000 0.7308 1

***

Record 3
# Tc2MoSe, relaxed, DFT PBE
# V   14.94 Å³ per atom
# Formation energy (no corrections)   144 meV/atom
# DOS at the Fermi energy   3.48 states/eV/cell
data_Tc2MoSe
_cell_length_a 5.2454
_cell_length_b 5.2454
_cell_length_c 5.2454
_cell_angle_alpha 147.02
_cell_angle_beta 129.80
_cell_angle_gamma 61.38
_space_group_name_H-M_alt 'P 1'
_space_group_IT_number 1
loop_
_space_group_symop_operation_xyz
'x,y,z'
loop_
_atom_site_label
_atom_site_fract_x
_atom_site_fract_y
_atom_site_fract_z
_atom_site_occupancy
Tc1 0.2234 0.2234 0.0000 1
Tc2 0.7766 0.7766 0.0000 1
Mo1 0.5000 0.0000 0.5000 1
Se1 0.0000 0.5000 0.5000 1

***

Record 4
# TcMo2Se, relaxed, DFT PBE
# V   15.69 Å³ per atom
# Formation energy (no corrections)   475 meV/atom
# DOS at the Fermi energy   3.68 states/eV/cell
data_TcMo2Se
_cell_length_a 3.6882
_cell_length_b 3.6882
_cell_length_c 4.6139
_cell_angle_alpha 90.00
_cell_angle_beta 90.00
_cell_angle_gamma 90.00
_space_group_name_H-M_alt 'P 1'
_space_group_IT_number 1
loop_
_space_group_symop_operation_xyz
'x,y,z'
loop_
_atom_site_label
_atom_site_fract_x
_atom_site_fract_y
_atom_site_fract_z
_atom_site_occupancy
Tc1 0.0000 0.0000 0.0000 1
Mo1 0.0000 0.5000 0.5000 1
Mo2 0.5000 0.0000 0.5000 1
Se1 0.5000 0.5000 0.0000 1

***

Record 5
# TcMo2Se, relaxed, DFT PBE
# V   15.77 Å³ per atom
# Formation energy (no corrections)   250 meV/atom
# DOS at the Fermi energy   3.18 states/eV/cell
data_TcMo2Se
_cell_length_a 2.9794
_cell_length_b 4.1627
_cell_length_c 5.0849
_cell_angle_alpha 90.00
_cell_angle_beta 90.00
_cell_angle_gamma 90.00
_space_group_name_H-M_alt 'P 1'
_space_group_IT_number 1
loop_
_space_group_symop_operation_xyz
'x,y,z'
loop_
_atom_site_label
_atom_site_fract_x
_atom_site_fract_y
_atom_site_fract_z
_atom_site_occupancy
Tc1 0.0000 0.0000 0.0000 1
Mo1 0.0000 0.0000 0.4854 1
Mo2 0.5000 0.5000 0.2320 1
Se1 0.5000 0.5000 0.7343 1

***

Record 6
# TcMo2Se, relaxed, DFT PBE
# V   15.68 Å³ per atom
# Formation energy (no corrections)   362 meV/atom
# DOS at the Fermi energy   3.78 states/eV/cell
data_TcMo2Se
_cell_length_a 4.9026
_cell_length_b 4.9026
_cell_length_c 2.9620
_cell_angle_alpha 90.00
_cell_angle_beta 90.00
_cell_angle_gamma 118.24
_space_group_name_H-M_alt 'P 1'
_space_group_IT_number 1
loop_
_space_group_symop_operation_xyz
'x,y,z'
loop_
_atom_site_label
_atom_site_fract_x
_atom_site_fract_y
_atom_site_fract_z
_atom_site_occupancy
Tc1 0.0000 0.0000 0.0000 1
Mo1 0.0000 0.5000 0.5000 1
Mo2 0.5000 0.0000 0.5000 1
Se1 0.5000 0.5000 0.0000 1

***

Record 7
# Tc2MoSe, relaxed, DFT PBE
# V   15.24 Å³ per atom
# Formation energy (no corrections)   395 meV/atom
# DOS at the Fermi energy   5.05 states/eV/cell
data_Tc2MoSe
_cell_length_a 4.4174
_cell_length_b 4.4174
_cell_length_c 4.4174
_cell_angle_alpha 60.00
_cell_angle_beta 60.00
_cell_angle_gamma 60.00
_space_group_name_H-M_alt 'P 1'
_space_group_IT_number 1
loop_
_space_group_symop_operation_xyz
'x,y,z'
loop_
_atom_site_label
_atom_site_fract_x
_atom_site_fract_y
_atom_site_fract_z
_atom_site_occupancy
Tc1 0.0000 0.0000 0.0000 1
Tc2 0.2500 0.2500 0.2500 1
Mo1 0.5000 0.5000 0.5000 1
Se1 0.7500 0.7500 0.7500 1

***

Record 8
# Tc2MoSe, relaxed, DFT PBE
# V   15.40 Å³ per atom
# Formation energy (no corrections)   206 meV/atom
# DOS at the Fermi energy   3.60 states/eV/cell
data_Tc2MoSe
_cell_length_a 8.6884
_cell_length_b 8.6884
_cell_length_c 8.6884
_cell_angle_alpha 19.13
_cell_angle_beta 19.13
_cell_angle_gamma 19.13
_space_group_name_H-M_alt 'P 1'
_space_group_IT_number 1
loop_
_space_group_symop_operation_xyz
'x,y,z'
loop_
_atom_site_label
_atom_site_fract_x
_atom_site_fract_y
_atom_site_fract_z
_atom_site_occupancy
Tc1 0.0000 0.0000 0.0000 1
Tc2 0.2520 0.2520 0.2520 1
Mo1 0.7549 0.7549 0.7549 1
Se1 0.5002 0.5002 0.5002 1

***

Record 9
# TcMoSe, relaxed, DFT PBE
# V   15.47 Å³ per atom
# Formation energy (no corrections)   99 meV/atom
# DOS at the Fermi energy   4.46 states/eV/cell
data_TcMoSe
_cell_length_a 9.6736
_cell_length_b 3.0975
_cell_length_c 3.0975
_cell_angle_alpha 89.47
_cell_angle_beta 90.00
_cell_angle_gamma 90.00
_space_group_name_H-M_alt 'P 1'
_space_group_IT_number 1
loop_
_space_group_symop_operation_xyz
'x,y,z'
loop_
_atom_site_label
_atom_site_fract_x
_atom_site_fract_y
_atom_site_fract_z
_atom_site_occupancy
Tc1 0.1636 0.0000 0.0000 1
Tc2 0.8364 0.0000 0.0000 1
Mo1 0.0000 0.5259 0.5259 1
Mo2 0.5000 0.0162 0.0162 1
Se1 0.3386 0.5352 0.5352 1
Se2 0.6614 0.5352 0.5352 1

***

Record 10
# TcMo3Se, relaxed, DFT PBE
# V   20.99 Å³ per atom
# Formation energy (no corrections)   1645 meV/atom
# DOS at the Fermi energy   6.39 states/eV/cell
data_TcMo3Se
_cell_length_a 4.7172
_cell_length_b 4.7172
_cell_length_c 4.7172
_cell_angle_alpha 90.00
_cell_angle_beta 90.00
_cell_angle_gamma 90.00
_space_group_name_H-M_alt 'P 1'
_space_group_IT_number 1
loop_
_space_group_symop_operation_xyz
'x,y,z'
loop_
_atom_site_label
_atom_site_fract_x
_atom_site_fract_y
_atom_site_fract_z
_atom_site_occupancy
Tc1 0.0000 0.0000 0.0000 1
Mo1 0.0000 0.0000 0.5000 1
Mo2 0.0000 0.5000 0.0000 1
Mo3 0.5000 0.0000 0.0000 1
Se1 0.5000 0.5000 0.5000 1

***

Record 11
# TcMo2Se, relaxed, DFT PBE
# V   15.55 Å³ per atom
# Formation energy (no corrections)   407 meV/atom
# DOS at the Fermi energy   4.39 states/eV/cell
data_TcMo2Se
_cell_length_a 4.4471
_cell_length_b 4.4471
_cell_length_c 4.4471
_cell_angle_alpha 60.00
_cell_angle_beta 60.00
_cell_angle_gamma 60.00
_space_group_name_H-M_alt 'P 1'
_space_group_IT_number 1
loop_
_space_group_symop_operation_xyz
'x,y,z'
loop_
_atom_site_label
_atom_site_fract_x
_atom_site_fract_y
_atom_site_fract_z
_atom_site_occupancy
Tc1 0.0000 0.0000 0.0000 1
Mo1 0.5000 0.5000 0.5000 1
Mo2 0.7500 0.7500 0.7500 1
Se1 0.2500 0.2500 0.2500 1

***

Record 12
# Tc2Mo2Se, relaxed, DFT PBE
# V   18.54 Å³ per atom
# Formation energy (no corrections)   543 meV/atom
# DOS at the Fermi energy   5.02 states/eV/cell
data_Tc2Mo2Se
_cell_length_a 6.8502
_cell_length_b 6.8502
_cell_length_c 6.8502
_cell_angle_alpha 147.45
_cell_angle_beta 147.45
_cell_angle_gamma 46.69
_space_group_name_H-M_alt 'P 1'
_space_group_IT_number 1
loop_
_space_group_symop_operation_xyz
'x,y,z'
loop_
_atom_site_label
_atom_site_fract_x
_atom_site_fract_y
_atom_site_fract_z
_atom_site_occupancy
Tc1 0.2500 0.7500 0.5000 1
Tc2 0.7500 0.2500 0.5000 1
Mo1 0.1196 0.1196 0.0000 1
Mo2 0.8804 0.8804 0.0000 1
Se1 0.5000 0.5000 0.0000 1

***

Record 13
# TcMo2Se, relaxed, DFT PBE
# V   15.69 Å³ per atom
# Formation energy (no corrections)   231 meV/atom
# DOS at the Fermi energy   4.28 states/eV/cell
data_TcMo2Se
_cell_length_a 8.6581
_cell_length_b 8.6581
_cell_length_c 8.6581
_cell_angle_alpha 19.42
_cell_angle_beta 19.42
_cell_angle_gamma 19.42
_space_group_name_H-M_alt 'P 1'
_space_group_IT_number 1
loop_
_space_group_symop_operation_xyz
'x,y,z'
loop_
_atom_site_label
_atom_site_fract_x
_atom_site_fract_y
_atom_site_fract_z
_atom_site_occupancy
Tc1 0.0000 0.0000 0.0000 1
Mo1 0.2485 0.2485 0.2485 1
Mo2 0.7515 0.7515 0.7515 1
Se1 0.5000 0.5000 0.5000 1

***

Record 14
# Tc2MoSe, relaxed, DFT PBE
# V   14.99 Å³ per atom
# Formation energy (no corrections)   158 meV/atom
# DOS at the Fermi energy   2.89 states/eV/cell
data_Tc2MoSe
_cell_length_a 5.2269
_cell_length_b 5.2269
_cell_length_c 5.2269
_cell_angle_alpha 146.57
_cell_angle_beta 129.66
_cell_angle_gamma 61.78
_space_group_name_H-M_alt 'P 1'
_space_group_IT_number 1
loop_
_space_group_symop_operation_xyz
'x,y,z'
loop_
_atom_site_label
_atom_site_fract_x
_atom_site_fract_y
_atom_site_fract_z
_atom_site_occupancy
Tc1 0.0000 0.0000 0.0000 1
Tc2 0.7337 0.2337 0.5000 1
Mo1 0.2804 0.7804 0.5000 1
Se1 0.5091 0.5091 0.0000 1

***

Record 15
# Tc2MoSe, relaxed, DFT PBE
# V   15.32 Å³ per atom
# Formation energy (no corrections)   196 meV/atom
# DOS at the Fermi energy   3.11 states/eV/cell
data_Tc2MoSe
_cell_length_a 4.8450
_cell_length_b 4.8450
_cell_length_c 4.5747
_cell_angle_alpha 104.98
_cell_angle_beta 104.98
_cell_angle_gamma 36.38
_space_group_name_H-M_alt 'P 1'
_space_group_IT_number 1
loop_
_space_group_symop_operation_xyz
'x,y,z'
loop_
_atom_site_label
_atom_site_fract_x
_atom_site_fract_y
_atom_site_fract_z
_atom_site_occupancy
Tc1 0.0000 0.0000 0.0000 1
Tc2 0.7366 0.7366 0.1219 1
Mo1 0.2273 0.2273 0.6132 1
Se1 0.4857 0.4857 0.4661 1